Record 1
# Ta4GaTc5

A relaxed Ta4GaTc5 crystal (PBE-GGA, Alexandria via LeMat-Bulk).

Results
- Space group: P4/mmm (123)
- Theoretical density: 13.4 g cm⁻³

Cell: 3.192 3.192 15.601 Å, 90.00 90.00 90.00°
Positions (direct):
Ta: 0.000 0.000 0.103
Ta: 0.000 0.000 0.309
Ta: 0.000 0.000 0.691
Ta: 0.000 0.000 0.897
Ga: 0.000 0.000 0.500
Tc: 0.500 0.500 0.000
Tc: 0.500 0.500 0.203
Tc: 0.500 0.500 0.405
Tc: 0.500 0.500 0.595
Tc: 0.500 0.500 0.797



Record 2
# TaGaTc2

A relaxed TaGaTc2 crystal (PBE-GGA, Alexandria via LeMat-Bulk).

Results
- Space group: P4/mmm (123)
- Theoretical density: 12.1 g cm⁻³

Cell: 3.203 3.203 5.999 Å, 90.00 90.00 90.00°
Positions (direct):
Ta: 0.000 0.000 0.000
Ga: 0.000 0.000 0.500
Tc: 0.500 0.500 0.260
Tc: 0.500 0.500 0.740



Record 3
# TaGa2Tc2

A relaxed TaGa2Tc2 crystal (PBE-GGA, Alexandria via LeMat-Bulk).

Results
- Space group: P4/mbm (127)
- Energy above the lowest structure with this stoichiometry: 0.000 eV/atom
- Theoretical density: 11.2 g cm⁻³

Cell: 6.990 6.990 3.121 Å, 90.00 90.00 90.00°
Positions (direct):
Ta: 0.000 0.000 0.000
Ta: 0.500 0.500 0.000
Ga: 0.128 0.372 0.000
Ga: 0.372 0.872 0.000
Ga: 0.628 0.128 0.000
Ga: 0.872 0.628 0.000
Tc: 0.171 0.671 0.500
Tc: 0.329 0.171 0.500
Tc: 0.671 0.829 0.500
Tc: 0.829 0.329 0.500



Record 4
# TaGa2Tc

A relaxed TaGa2Tc crystal (PBE-GGA, Alexandria via LeMat-Bulk).

Results
- Space group: R3m (160)
- Energy above the lowest structure with this stoichiometry: 0.000 eV/atom
- Theoretical density: 10.8 g cm⁻³

Cell: 8.822 8.822 8.822 Å, 19.09 19.09 19.09°
Positions (direct):
Ta: 0.000 0.000 0.000
Ga: 0.578 0.578 0.578
Ga: 0.754 0.754 0.754
Tc: 0.166 0.166 0.166



Record 5
# TaGa2Tc

A relaxed TaGa2Tc crystal (PBE-GGA, Alexandria via LeMat-Bulk).

Results
- Space group: I-42d (122)
- Energy above the lowest structure with this stoichiometry: 0.332 eV/atom
- Theoretical density: 10.3 g cm⁻³

Cell: 5.677 5.677 5.677 Å, 103.33 103.33 122.61°
Positions (direct):
Ta: 0.000 0.000 0.000
Ta: 0.750 0.250 0.500
Ga: 0.139 0.125 0.514
Ga: 0.375 0.861 0.986
Ga: 0.611 0.625 0.486
Ga: 0.875 0.389 0.014
Tc: 0.250 0.750 0.500
Tc: 0.500 0.500 0.000



Record 6
# TaGaTc2

A relaxed TaGaTc2 crystal (PBE-GGA, Alexandria via LeMat-Bulk).

Results
- Space group: Immm (71)
- Theoretical density: 11.1 g cm⁻³

Cell: 6.005 6.005 6.005 Å, 153.32 136.39 51.86°
Positions (direct):
Ta: 0.000 0.000 0.000
Ga: 0.500 0.500 0.000
Tc: 0.281 0.281 0.000
Tc: 0.719 0.719 0.000



Record 7
# TaGa2Tc

A relaxed TaGa2Tc crystal (PBE-GGA, Alexandria via LeMat-Bulk).

Results
- Space group: Fm-3m (225)
- Energy above the lowest structure with this stoichiometry: 0.067 eV/atom
- Theoretical density: 11.3 g cm⁻³

Cell: 4.435 4.435 4.435 Å, 60.00 60.00 60.00°
Positions (direct):
Ta: 0.000 0.000 0.000
Ga: 0.250 0.250 0.250
Ga: 0.750 0.750 0.750
Tc: 0.500 0.500 0.500



Record 8
# TaGa3Tc

A relaxed TaGa3Tc crystal (PBE-GGA, Alexandria via LeMat-Bulk).

Results
- Space group: Pm-3m (221)
- Energy above the lowest structure with this stoichiometry: 0.000 eV/atom
- Theoretical density: 8.0 g cm⁻³

Cell: 4.669 4.669 4.669 Å, 90.00 90.00 90.00°
Positions (direct):
Ta: 0.000 0.000 0.000
Ga: 0.000 0.500 0.500
Ga: 0.500 0.000 0.500
Ga: 0.500 0.500 0.000
Tc: 0.500 0.500 0.500



Record 9
# Ta3GaTc

A relaxed Ta3GaTc crystal (PBE-GGA, Alexandria via LeMat-Bulk).

Results
- Space group: Pm-3m (221)
- Energy above the lowest structure with this stoichiometry: 0.338 eV/atom
- Theoretical density: 11.6 g cm⁻³

Cell: 4.666 4.666 4.666 Å, 90.00 90.00 90.00°
Positions (direct):
Ta: 0.000 0.000 0.500
Ta: 0.000 0.500 0.000
Ta: 0.500 0.000 0.000
Ga: 0.000 0.000 0.000
Tc: 0.500 0.500 0.500



Record 10
# TaGa3Tc

A relaxed TaGa3Tc crystal (PBE-GGA, Alexandria via LeMat-Bulk).

Results
- Space group: Pm-3m (221)
- Energy above the lowest structure with this stoichiometry: 0.308 eV/atom
- Theoretical density: 6.7 g cm⁻³

Cell: 4.951 4.951 4.951 Å, 90.00 90.00 90.00°
Positions (direct):
Ta: 0.000 0.000 0.000
Ga: 0.000 0.000 0.500
Ga: 0.000 0.500 0.000
Ga: 0.500 0.000 0.000
Tc: 0.500 0.500 0.500



Record 11
# Ta3GaTc

A relaxed Ta3GaTc crystal (PBE-GGA, Alexandria via LeMat-Bulk).

Results
- Space group: Pm-3m (221)
- Energy above the lowest structure with this stoichiometry: 0.000 eV/atom
- Theoretical density: 10.7 g cm⁻³

Cell: 4.798 4.798 4.798 Å, 90.00 90.00 90.00°
Positions (direct):
Ta: 0.000 0.000 0.500
Ta: 0.000 0.500 0.000
Ta: 0.500 0.000 0.000
Ga: 0.500 0.500 0.500
Tc: 0.000 0.000 0.000



Record 12
# TaGa2Tc2

A relaxed TaGa2Tc2 crystal (PBE-GGA, Alexandria via LeMat-Bulk).

Results
- Space group: P4/mbm (127)
- Energy above the lowest structure with this stoichiometry: 0.158 eV/atom
- Theoretical density: 10.9 g cm⁻³

Cell: 7.015 7.015 3.211 Å, 90.00 90.00 90.00°
Positions (direct):
Ta: 0.000 0.000 0.000
Ta: 0.500 0.500 0.000
Ga: 0.154 0.346 0.500
Ga: 0.346 0.846 0.500
Ga: 0.654 0.154 0.500
Ga: 0.846 0.654 0.500
Tc: 0.144 0.644 0.000
Tc: 0.356 0.144 0.000
Tc: 0.644 0.856 0.000
Tc: 0.856 0.356 0.000



| no. | energy (eV per cell) | formation energy from the elements (eV/f.u.) | DOS(E_F) (states/eV/cell) |
| --- | --- | --- | --- |
| 1 | -106.43 | -4.2 | 6.68 |
| 2 | -36.72 | -1.1 | 4.40 |
| 3 | -78.58 | -0.7 | 5.47 |
| 4 | -28.48 | -0.2 | 3.77 |
| 5 | -54.30 | 1.1 | 8.24 |
| 6 | -33.44 | 2.2 | 3.42 |
| 7 | -28.21 | 0.1 | 2.22 |
| 8 | -26.74 | 4.6 | 6.52 |
| 9 | -41.69 | 7.3 | 6.01 |
| 10 | -25.20 | 6.1 | 5.02 |
| 11 | -43.38 | 5.6 | 2.83 |
| 12 | -77.00 | 0.1 | 5.46 |